Computed, not measured: crystalline Hf2Ti2Al at its relaxed geometry at the GGA-PBE level of DFT.

Computed properties:
The value obtained for the density of states at the Fermi level is 4.4 states/eV/f.u. Its formation energy is 77 meV/atom.

Unit cell a=5.3294 b=5.3294 c=4.1680 alpha=66.92 beta=66.92 gamma=70.94
Sites, in units of the cell vectors:
Ti: 0.2822 0.7178 0.5000
Ti: 0.7178 0.2822 0.5000
Hf: 0.6997 0.6997 0.8004
Hf: 0.3003 0.3003 0.1996
Al: 0.0000 0.0000 0.0000